! NiGeP2O PBE with a Hubbard U optimized geometry; values from VASP
! ρ: 4.7 g/cm³
! Relative energy among the computed polymorphs: 0 meV/atom
! Calculated volume: 73.9 Å³ per cell
! Crystal system: tetragonal
! Space group: P4/mmm (123)
&SYSTEM
  ibrav = 0, nat = 5, ntyp = 4
/
ATOMIC_SPECIES
Ni 58.69 Ni.upf
Ge 72.64 Ge.upf
P 30.97 P.upf
O 16.00 O.upf
CELL_PARAMETERS angstrom
4.6033 0.0000 0.0000
0.0000 4.6033 0.0000
0.0000 0.0000 3.4875
ATOMIC_POSITIONS angstrom
Ni 0.0000 0.0000 0.0000
Ge 2.3017 2.3017 1.7438
P 0.0000 2.3017 0.0000
P 2.3017 0.0000 0.0000
O 0.0000 0.0000 1.7438